1.
A plane-wave DFT calculation with GGA-PBE was carried out for crystalline LaZr2Si at its relaxed geometry.

Computed properties:
As for the calculated density: 6.02 g/cm³. Its crystal system is monoclinic. For the density of states at the Fermi level, the calculation gives 4.2 states/eV/cell.

Cell and atoms, written as CIF:
```
data_LaZr2Si
_chemical_formula_sum 'La1 Zr2 Si1'
_symmetry_space_group_name_H-M 'P 1 2/m 1'
_symmetry_Int_Tables_number 10
_cell_length_a 3.518
_cell_length_b 4.722
_cell_length_c 5.950
_cell_angle_alpha 90.00
_cell_angle_beta 102.96
_cell_angle_gamma 90.00
loop_
_symmetry_equiv_pos_as_xyz
'x,y,z'
'-x,-y,-z'
'-x,y,-z'
'x,-y,z'
loop_
_atom_site_label
_atom_site_type_symbol
_atom_site_fract_x
_atom_site_fract_y
_atom_site_fract_z
La1 La 0.000 0.000 0.000
Zr1 Zr 0.357 0.500 0.713
Si1 Si 0.500 0.000 0.500
```


2.
A plane-wave DFT calculation with GGA-PBE was carried out for crystalline LaZrSi2 at its relaxed geometry.

Computed properties:
Its energy above the most stable polymorph in this dataset is 1.28 eV/f.u. As for the calculated density: 5.51 g/cm³. Its crystal system is cubic. For the density of states at the Fermi level, the calculation gives 23.4 states/eV/cell.

Cell and atoms, written as CIF:
```
data_LaZrSi2
_chemical_formula_sum 'La4 Zr4 Si8'
_symmetry_space_group_name_H-M 'F m -3 m'
_symmetry_Int_Tables_number 225
_symmetry_space_group_name_Hall '-F 4 2 3'
_cell_length_a 7.016
_cell_length_b 7.016
_cell_length_c 7.016
_cell_angle_alpha 90.00
_cell_angle_beta 90.00
_cell_angle_gamma 90.00
loop_
_atom_site_label
_atom_site_type_symbol
_atom_site_fract_x
_atom_site_fract_y
_atom_site_fract_z
La1 La 0.000 0.000 0.000
Zr1 Zr 0.000 0.000 0.500
Si1 Si 0.250 0.250 0.250
```


3.
A plane-wave DFT calculation with GGA-PBE was carried out for crystalline La2ZrSi at its relaxed geometry.

Computed properties:
As for the calculated density: 6.03 g/cm³. Its crystal system is tetragonal. For the density of states at the Fermi level, the calculation gives 6.3 states/eV/cell.

Cell and atoms, written as CIF:
```
data_La2ZrSi
_chemical_formula_sum 'La2 Zr1 Si1'
_symmetry_space_group_name_H-M 'P 4/m m m'
_symmetry_Int_Tables_number 123
_symmetry_space_group_name_Hall '-P 4 2'
_cell_length_a 3.423
_cell_length_b 3.423
_cell_length_c 9.331
_cell_angle_alpha 90.00
_cell_angle_beta 90.00
_cell_angle_gamma 90.00
loop_
_atom_site_label
_atom_site_type_symbol
_atom_site_fract_x
_atom_site_fract_y
_atom_site_fract_z
La1 La 0.000 0.000 0.216
Zr1 Zr 0.500 0.500 0.500
Si1 Si 0.500 0.500 0.000
```


4.
A plane-wave DFT calculation with GGA-PBE was carried out for crystalline LaZrSi at its relaxed geometry.

Computed properties:
Its energy above the most stable polymorph in this dataset is 0.99 eV/f.u. As for the calculated density: 5.47 g/cm³. Its crystal system is cubic. For the density of states at the Fermi level, the calculation gives 7.6 states/eV/cell.

Cell and atoms, written as CIF:
```
data_LaZrSi
_chemical_formula_sum 'La4 Zr4 Si4'
_symmetry_space_group_name_H-M 'F -4 3 m'
_symmetry_Int_Tables_number 216
_symmetry_space_group_name_Hall 'F -4 2 3'
_cell_length_a 6.795
_cell_length_b 6.795
_cell_length_c 6.795
_cell_angle_alpha 90.00
_cell_angle_beta 90.00
_cell_angle_gamma 90.00
loop_
_atom_site_label
_atom_site_type_symbol
_atom_site_fract_x
_atom_site_fract_y
_atom_site_fract_z
La1 La 0.000 0.000 0.000
Zr1 Zr 0.000 0.000 0.500
Si1 Si 0.250 0.250 0.250
```


5.
A plane-wave DFT calculation with GGA-PBE was carried out for crystalline LaZrSi2 at its relaxed geometry.

Computed properties:
Its energy above the most stable polymorph in this dataset is 2.87 eV/f.u. As for the calculated density: 5.89 g/cm³. Its crystal system is cubic. For the density of states at the Fermi level, the calculation gives 11.0 states/eV/cell.

Cell and atoms, written as CIF:
```
data_LaZrSi2
_chemical_formula_sum 'La4 Zr4 Si8'
_symmetry_space_group_name_H-M 'F -4 3 m'
_symmetry_Int_Tables_number 216
_symmetry_space_group_name_Hall 'F -4 2 3'
_cell_length_a 6.861
_cell_length_b 6.861
_cell_length_c 6.861
_cell_angle_alpha 90.00
_cell_angle_beta 90.00
_cell_angle_gamma 90.00
loop_
_atom_site_label
_atom_site_type_symbol
_atom_site_fract_x
_atom_site_fract_y
_atom_site_fract_z
La1 La 0.000 0.000 0.000
Zr1 Zr 0.250 0.250 0.750
Si1 Si 0.000 0.000 0.500
Si2 Si 0.250 0.250 0.250
```


6.
A plane-wave DFT calculation with GGA-PBE was carried out for crystalline LaZrSi at its relaxed geometry.

Computed properties:
Its energy above the most stable polymorph in this dataset is 0.77 eV/f.u. As for the calculated density: 5.92 g/cm³. Its crystal system is tetragonal. For the density of states at the Fermi level, the calculation gives 7.1 states/eV/cell.

Cell and atoms, written as CIF:
```
data_LaZrSi
_chemical_formula_sum 'La2 Zr2 Si2'
_symmetry_space_group_name_H-M 'I 4 m m'
_symmetry_Int_Tables_number 107
_symmetry_space_group_name_Hall 'I 4 -2'
_cell_length_a 3.741
_cell_length_b 3.741
_cell_length_c 10.359
_cell_angle_alpha 90.00
_cell_angle_beta 90.00
_cell_angle_gamma 90.00
loop_
_atom_site_label
_atom_site_type_symbol
_atom_site_fract_x
_atom_site_fract_y
_atom_site_fract_z
La1 La 0.000 0.000 0.000
Zr1 Zr 0.000 0.000 0.721
Si1 Si 0.000 0.000 0.303
```


7.
A plane-wave DFT calculation with GGA-PBE was carried out for crystalline La2ZrSi at its relaxed geometry.

Computed properties:
As for the calculated density: 6.30 g/cm³. Its crystal system is monoclinic. For the density of states at the Fermi level, the calculation gives 4.3 states/eV/cell.

Cell and atoms, written as CIF:
```
data_La2ZrSi
_chemical_formula_sum 'La2 Zr1 Si1'
_symmetry_space_group_name_H-M 'P 1 2/m 1'
_symmetry_Int_Tables_number 10
_cell_length_a 3.440
_cell_length_b 5.457
_cell_length_c 5.804
_cell_angle_alpha 90.00
_cell_angle_beta 106.03
_cell_angle_gamma 90.00
loop_
_symmetry_equiv_pos_as_xyz
'x,y,z'
'-x,-y,-z'
'-x,y,-z'
'x,-y,z'
loop_
_atom_site_label
_atom_site_type_symbol
_atom_site_fract_x
_atom_site_fract_y
_atom_site_fract_z
La1 La 0.150 0.000 0.276
Zr1 Zr 0.500 0.500 0.000
Si1 Si 0.000 0.500 0.500
```


8.
A plane-wave DFT calculation with GGA-PBE was carried out for crystalline La2ZrSi at its relaxed geometry.

Computed properties:
As for the calculated density: 5.77 g/cm³. Its crystal system is orthorhombic. For the density of states at the Fermi level, the calculation gives 11.2 states/eV/cell.

Cell and atoms, written as CIF:
```
data_La2ZrSi
_chemical_formula_sum 'La4 Zr2 Si2'
_symmetry_space_group_name_H-M 'A m m 2'
_symmetry_Int_Tables_number 38
_cell_length_a 4.557
_cell_length_b 4.222
_cell_length_c 11.891
_cell_angle_alpha 90.00
_cell_angle_beta 90.00
_cell_angle_gamma 90.00
loop_
_symmetry_equiv_pos_as_xyz
'x,y,z'
'-x,-y,z'
'-x,y,z'
'x,-y,z'
'x,y+1/2,z+1/2'
'-x,-y+1/2,z+1/2'
'-x,y+1/2,z+1/2'
'x,-y+1/2,z+1/2'
loop_
_atom_site_label
_atom_site_type_symbol
_atom_site_fract_x
_atom_site_fract_y
_atom_site_fract_z
La1 La 0.000 0.000 0.000
La2 La 0.500 0.000 0.294
Zr1 Zr 0.000 0.000 0.705
Si1 Si 0.500 0.000 0.581
```


| no. | raw formation energy (meV per atom) |
| --- | --- |
| 1 | -80.7 |
| 2 | -273.0 |
| 3 | -59.0 |
| 4 | -260.0 |
| 5 | 123.8 |
| 6 | -334.5 |
| 7 | 56.2 |
| 8 | -270.5 |